[1]
## RbPH3 (GGA-PBE)

Data for an optimized crystal structure of RbPH3.

Cell lengths 9.8358, 5.4182, 5.4182 Å; angles 133.42, 90.00, 90.00 degrees
Last column: nearest neighbours and their distance in Å.
Element x y z (fractional)
Rb  0.0000  0.0000  0.0000  4 H 2.87-3.14
Rb  0.5000  0.0000  0.0000  4 H 2.87-3.14
P  0.2500  0.5923  0.3528  3 H 1.46-1.56
P  0.7500  0.3528  0.5923  3 H 1.46-1.56
H  0.1382  0.6859  0.2529  1 P 1.46
H  0.2500  0.9654  0.7046  1 P 1.56
H  0.3618  0.6859  0.2529  1 P 1.46
H  0.6382  0.2529  0.6859  1 P 1.46
H  0.7500  0.7046  0.9654  1 P 1.56
H  0.8618  0.2529  0.6859  1 P 1.46

## Properties
**Crystal system**: orthorhombic
**V**: 21.0 A^3/atom
**Total moment**: 0.0 Bohr magnetons per cell
**Space group**: No. 40
**E**: -3.2382 eV/atom



[2]
## Rb3PH6 (GGA-PBE)

Data for an optimized crystal structure of Rb3PH6.

Cell lengths 7.7067, 7.7067, 7.0629 Å; angles 90.00, 90.00, 81.97 degrees
Last column: nearest neighbours and their distance in Å.
Element x y z (fractional)
Rb  0.0022  0.9978  0.5000  7 H 2.79-3.00
Rb  0.1815  0.4640  0.0637  6 H 2.84-3.10
Rb  0.4640  0.1815  0.5637  6 H 2.84-3.10
Rb  0.5360  0.8185  0.0637  6 H 2.84-3.10
Rb  0.8185  0.5360  0.5637  6 H 2.84-3.10
Rb  0.9978  0.0022  0.0000  7 H 2.79-3.00
P  0.3555  0.6445  0.5839  3 H 1.42-1.55
P  0.6445  0.3555  0.0839  3 H 1.42-1.55
H  0.0953  0.2785  0.7369  5 Rb 2.84-3.09, 1 H 2.94
H  0.1810  0.6346  0.5229  1 P 1.42
H  0.2389  0.7611  0.8063  1 P 1.96
H  0.2785  0.0953  0.2369  5 Rb 2.84-3.09, 1 H 2.94
H  0.3654  0.8190  0.5229  1 P 1.42
H  0.4155  0.5845  0.3818  1 P 1.55
H  0.5845  0.4155  0.8818  1 P 1.55
H  0.6346  0.1810  0.0229  1 P 1.42
H  0.7215  0.9047  0.7369  5 Rb 2.84-3.09, 1 H 2.94
H  0.7611  0.2389  0.3063  1 P 1.96
H  0.8190  0.3654  0.0229  1 P 1.42
H  0.9047  0.7215  0.2369  5 Rb 2.84-3.09, 1 H 2.94

## Properties
**Crystal system**: orthorhombic
**V**: 20.8 A^3/atom
**Total moment**: 0.0 Bohr magnetons per cell
**Space group**: No. 36
**E**: -2.9080 eV/atom



[3]
## Rb2P3H6 (GGA-PBE)

Data for an optimized crystal structure of Rb2P3H6.

Cell lengths 8.7051, 8.7051, 10.2823 Å; angles 119.05, 119.05, 48.99 degrees
Last column: nearest neighbours and their distance in Å.
Element x y z (fractional)
Rb  0.1672  0.6734  0.8821  4 H 3.06-3.37
Rb  0.3266  0.8328  0.6179  4 H 3.06-3.37
Rb  0.6734  0.1672  0.3821  4 H 3.06-3.37
Rb  0.8328  0.3266  0.1179  4 H 3.06-3.37
P  0.0260  0.3230  0.5125  2 H 1.43
P  0.3230  0.0260  0.0125  2 H 1.43
P  0.3978  0.6022  0.2500  2 H 1.44
P  0.6022  0.3978  0.7500  2 H 1.44
P  0.6770  0.9740  0.9875  2 H 1.43
P  0.9740  0.6770  0.4875  2 H 1.43
H  0.0714  0.5350  0.3620  1 P 1.43
H  0.1833  0.6624  0.1972  1 P 1.44
H  0.2328  0.2702  0.6087  1 P 1.43
H  0.2702  0.2328  0.1087  1 P 1.43
H  0.3376  0.8167  0.3028  1 P 1.44
H  0.4650  0.9286  0.1380  1 P 1.43
H  0.5350  0.0714  0.8620  1 P 1.43
H  0.6624  0.1833  0.6972  1 P 1.44
H  0.7298  0.7672  0.8913  1 P 1.43
H  0.7672  0.7298  0.3913  1 P 1.43
H  0.8167  0.3376  0.8028  1 P 1.44
H  0.9286  0.4650  0.6380  1 P 1.43

## Properties
**Crystal system**: monoclinic
**V**: 22.6 A^3/atom
**Total moment**: 2.0 Bohr magnetons per cell
**Space group**: No. 15
**E**: -3.6175 eV/atom



[4]
## RbP2H2 (GGA-PBE)

Data for an optimized crystal structure of RbP2H2.

Cell lengths 7.6623, 7.6623, 3.2259 Å; angles 90.00, 90.00, 90.00 degrees
Last column: nearest neighbours and their distance in Å.
Element x y z (fractional)
Rb  0.0000  0.0000  0.0000  2 Rb 3.23, 4 H 3.25, 8 P 3.57
Rb  0.5000  0.5000  0.0000  2 Rb 3.23, 4 H 3.25, 8 P 3.57
P  0.0948  0.4052  0.5000  1 P 2.05, 4 H 2.12
P  0.4052  0.9052  0.5000  1 P 2.05, 4 H 2.12
P  0.5948  0.0948  0.5000  1 P 2.05, 4 H 2.12
P  0.9052  0.5948  0.5000  1 P 2.05, 4 H 2.12
H  0.0844  0.5844  0.0000  1 H 1.83
H  0.4156  0.0844  0.0000  1 H 1.83
H  0.5844  0.9156  0.0000  1 H 1.83
H  0.9156  0.4156  0.0000  1 H 1.83

## Properties
**Crystal system**: tetragonal
**V**: 18.9 A^3/atom
**Total moment**: 0.0 Bohr magnetons per cell
**Space group**: No. 127
**E**: -3.1188 eV/atom



[5]
## Rb2PH2 (GGA-PBE)

Data for an optimized crystal structure of Rb2PH2.

Cell lengths 5.7506, 5.7506, 5.7506 Å; angles 118.12, 118.12, 93.29 degrees
Last column: nearest neighbours and their distance in Å.
Element x y z (fractional)
Rb  0.2500  0.7500  0.5000  4 H 2.98
Rb  0.7500  0.2500  0.5000  4 H 2.98
P  0.0000  0.0000  0.0000  2 H 1.57
H  0.1990  0.1990  0.0000  1 P 1.57
H  0.8010  0.8010  0.0000  1 P 1.57

## Properties
**Crystal system**: tetragonal
**V**: 27.6 A^3/atom
**Total moment**: 1.0 Bohr magnetons per cell
**Space group**: No. 139
**E**: -2.7555 eV/atom



[6]
## RbP4H7 (GGA-PBE)

Data for an optimized crystal structure of RbP4H7.

Cell lengths 6.8761, 6.8761, 5.9043 Å; angles 101.76, 101.76, 47.29 degrees
Last column: nearest neighbours and their distance in Å.
Element x y z (fractional)
Rb  0.0000  0.0000  0.0000  2 H 2.76
P  0.3076  0.3076  0.8012  2 H 1.42-1.43
P  0.4326  0.4326  0.6054  1 H 1.46
P  0.5674  0.5674  0.3946  1 H 1.46
P  0.6924  0.6924  0.1988  2 H 1.42-1.43
H  0.1952  0.1952  0.6862  1 P 1.43
H  0.3128  0.3128  0.0432  1 P 1.42
H  0.3479  0.3479  0.3906  1 P 1.46
H  0.5000  0.5000  0.0000  4 P 2.30-2.45, 2 H 2.43
H  0.6521  0.6521  0.6094  1 P 1.46
H  0.6872  0.6872  0.9568  1 P 1.42
H  0.8048  0.8048  0.3138  1 P 1.43

## Properties
**Crystal system**: monoclinic
**V**: 16.7 A^3/atom
**Total moment**: 0.0 Bohr magnetons per cell
**Space group**: No. 12
**E**: -3.6181 eV/atom



[7]
## RbP3H (GGA-PBE)

Data for an optimized crystal structure of RbP3H.

Cell lengths 4.4214, 4.4214, 4.4214 Å; angles 90.00, 90.00, 90.00 degrees
Last column: nearest neighbours and their distance in Å.
Element x y z (fractional)
Rb  0.0000  0.0000  0.0000  12 P 3.13
P  0.0000  0.5000  0.5000  2 H 2.21
P  0.5000  0.0000  0.5000  2 H 2.21
P  0.5000  0.5000  0.0000  2 H 2.21
H  0.5000  0.5000  0.5000  6 P 2.21

## Properties
**Crystal system**: cubic
**V**: 17.3 A^3/atom
**Total moment**: 0.0 Bohr magnetons per cell
**Space group**: No. 221
**E**: -3.2402 eV/atom



[8]
## RbP2H2 (GGA-PBE)

Data for an optimized crystal structure of RbP2H2.

Cell lengths 6.6114, 6.6114, 6.6114 Å; angles 149.40, 149.40, 43.82 degrees
Last column: nearest neighbours and their distance in Å.
Element x y z (fractional)
Rb  0.0000  0.0000  0.0000  8 H 2.96
P  0.2500  0.7500  0.5000  4 H 2.26, 4 P 2.47
P  0.7500  0.2500  0.5000  4 H 2.26, 4 P 2.47
H  0.3672  0.3672  0.0000  4 P 2.26
H  0.6328  0.6328  0.0000  4 P 2.26

## Properties
**Crystal system**: tetragonal
**V**: 14.9 A^3/atom
**Total moment**: 0.0 Bohr magnetons per cell
**Space group**: No. 139
**E**: -3.1734 eV/atom



[9]
## RbP2H6S (GGA-PBE)

Data for an optimized crystal structure of RbP2H6S.

Cell lengths 6.8363, 6.8363, 6.8822 Å; angles 90.38, 90.38, 110.66 degrees
Last column: nearest neighbours and their distance in Å.
Element x y z (fractional)
Rb  0.1939  0.8061  0.7500  6 H 2.88-3.17
Rb  0.8061  0.1939  0.2500  6 H 2.88-3.17
P  0.1920  0.2977  0.7458  3 H 1.43-1.52
P  0.2977  0.1920  0.2458  3 H 1.43-1.52
P  0.7023  0.8080  0.7542  3 H 1.43-1.52
P  0.8080  0.7023  0.2542  3 H 1.43-1.52
H  0.0241  0.6874  0.2542  1 P 1.52
H  0.2632  0.4444  0.5916  1 P 1.43
H  0.2638  0.4442  0.9029  1 P 1.43
H  0.3126  0.9759  0.2458  1 P 1.52
H  0.4444  0.2632  0.0916  1 P 1.43
H  0.4442  0.2638  0.4029  1 P 1.43
H  0.5558  0.7362  0.5971  1 P 1.43
H  0.5556  0.7368  0.9084  1 P 1.43
H  0.6874  0.0241  0.7542  1 P 1.52
H  0.7362  0.5558  0.0971  1 P 1.43
H  0.7368  0.5556  0.4084  1 P 1.43
H  0.9759  0.3126  0.7458  1 P 1.52
S  0.3286  0.6714  0.2500  2 H 2.12
S  0.6714  0.3286  0.7500  2 H 2.12

## Properties
**Crystal system**: monoclinic
**V**: 15.0 A^3/atom
**Total moment**: 0.0 Bohr magnetons per cell
**Space group**: No. 15
**E**: -3.6734 eV/atom



[10]
## Rb3P2H6S (GGA-PBE)

Data for an optimized crystal structure of Rb3P2H6S.

Cell lengths 5.8418, 5.8418, 7.1984 Å; angles 90.00, 90.00, 120.00 degrees
Last column: nearest neighbours and their distance in Å.
Element x y z (fractional)
Rb  0.0000  0.0000  0.0000  6 H 2.76
Rb  0.3333  0.6667  0.6313  9 H 3.08-3.11
Rb  0.6667  0.3333  0.3687  9 H 3.08-3.11
P  0.3333  0.6667  0.1168  3 H 1.48
P  0.6667  0.3333  0.8832  3 H 1.48
H  0.2149  0.4299  0.2364  1 P 1.48
H  0.2149  0.7851  0.2364  1 P 1.48
H  0.4299  0.2149  0.7636  1 P 1.48
H  0.5701  0.7851  0.2364  1 P 1.48
H  0.7851  0.2149  0.7636  1 P 1.48
H  0.7851  0.5701  0.7636  1 P 1.48
S  0.0000  0.0000  0.5000  6 H 2.89

## Properties
**Crystal system**: trigonal
**V**: 17.7 A^3/atom
**Total moment**: 0.0 Bohr magnetons per cell
**Space group**: No. 164
**E**: -3.3934 eV/atom